! BaRe2Pb (PBE-GGA, relaxed); values from VASP
&SYSTEM
  ibrav = 0, nat = 4, ntyp = 3
/
ATOMIC_SPECIES
Pb 207.20 Pb.upf
Re 186.21 Re.upf
Ba 137.33 Ba.upf
CELL_PARAMETERS angstrom
-0.7320 -4.2415 -0.3178
1.6926 -2.7064 2.9047
-5.3394 -1.6317 4.7947
ATOMIC_POSITIONS crystal
Pb 0.2832 0.2832 0.1505
Re 0.0245 0.0245 0.9265
Re 0.7039 0.7039 0.8881
Ba 0.4884 0.4884 0.5348
! M_tot (Bohr magnetons per cell): 0.00
! Energy relative to the elements (eV per atom): 0.34
! Final energy (eV per formula unit): -29.17